First-principles (GGA+U) data for a geometry-optimized CoReOsSeO structure, as listed in Alexandria via LeMat-Bulk.

```
5
Lattice="-2.070 -0.140 1.844 -3.615 -1.419 -2.085 0.774 -7.000 1.973" Properties=species:S:1:pos:R:3 pbc="T T T"
Co -2.629 -5.701 0.754
Os -0.150 -6.127 1.420
O -2.591 -2.333 -0.585
Re -4.050 -1.113 -0.039
Se -1.396 -4.069 2.265
```

- excess energy over the best structure of this formula in the dataset (kcal/mol of atoms) = 3.36
- density of states at the Fermi level (states/eV/cell) = 2.20
- spin magnetization (μB/f.u.) = 1.2
- calculated total energy (eV/atom) = -7.427